MgBe2Se: optimized geometry, PBE-GGA.

The space group is C2/m (No. 12) and the conventional cell measures 10.989, 3.604 and 3.594 Å, with angles of 90.00, 109.04 and 90.00 degrees. The inequivalent atoms are Mg at (0.000, 0.000, 0.000), Be at (0.221, 0.500, 0.724) and Se at (0.000, 0.500, 0.500).

The calculation puts the uncorrected formation energy at 0.1776 eV per atom. As for the crystal system: monoclinic. The energy above the most stable polymorph in this dataset is 0.69 eV/f.u.



MgBe2Se: optimized geometry, PBE-GGA.

The space group is P4mm (No. 99) and the conventional cell measures 3.245, 3.245 and 5.719 Å, with angles of 90.00, 90.00 and 90.00 degrees. The inequivalent atoms are Mg at (0.000, 0.000, 0.000), Be at (0.000, 0.000, 0.534), Be at (0.500, 0.500, 0.738) and Se at (0.500, 0.500, 0.357).

The calculation puts the uncorrected formation energy at 0.1793 eV per atom. As for the crystal system: tetragonal. The energy above the most stable polymorph in this dataset is 0.70 eV/f.u.